Nd2Hg: optimized geometry, PBE.

Summary:
**Total magnetization**: 0.46 Bohr magnetons per cell
**Symmetry**: No. 225
**Formation energy**: -0.100 eV per atom
**Mass density**: 7998 kg/m3

abc: 5.2366 5.2366 5.2366
angles: 60.00 60.00 60.00
Element x y z (fractional)
Nd (0.2500, 0.2500, 0.2500)
Nd (0.7500, 0.7500, 0.7500)
Hg (0.0000, 0.0000, 0.0000)



HfFeSb2: optimized geometry, PBE.

Summary:
**Electronic total energy**: -6.339 eV per atom
**Total magnetization**: 2.00 Bohr magnetons per cell
**Symmetry**: No. 216
**Mass density**: 9524 kg/m3

abc: 4.9025 4.9025 4.9025
angles: 60.00 60.00 60.00
Element x y z (fractional)
Hf (0.0000, 0.0000, 0.0000)
Fe (0.2500, 0.2500, 0.2500)
Sb (0.5000, 0.5000, 0.5000)
Sb (0.7500, 0.7500, 0.7500)



LuInNO: optimized geometry, PBE.

Summary:
**E above lowest polymorph**: 148 meV/atom
**Total magnetization**: 0.00 Bohr magnetons per cell
**Symmetry**: No. 26
**Mass density**: 7761 kg/m3

abc: 3.6841 6.5890 5.6374
angles: 90.00 90.00 90.00
Element x y z (fractional)
Lu (0.0000, 0.1586, 0.0000)
Lu (0.0000, 0.8414, 0.5000)
In (0.5000, 0.3367, 0.4831)
In (0.5000, 0.6633, 0.9831)
N (0.0000, 0.1593, 0.3915)
N (0.0000, 0.8407, 0.8915)
O (0.5000, 0.2706, 0.8752)
O (0.5000, 0.7294, 0.3752)



Tl2SnHgSe4: optimized geometry, PBE.

Summary:
**Electronic total energy**: -3.222 eV per atom
**Symmetry**: No. 121
**Mass density**: 7507 kg/m3

abc: 6.7274 6.7274 6.7274
angles: 105.63 105.63 117.46
Element x y z (fractional)
Tl (0.0000, 0.5000, 0.5000)
Tl (0.5000, 0.0000, 0.5000)
Sn (0.0000, 0.0000, 0.0000)
Hg (0.5000, 0.5000, 0.0000)
Se (0.0569, 0.0569, 0.6504)
Se (0.4065, 0.4065, 0.3496)
Se (0.5935, 0.9431, 0.0000)
Se (0.9431, 0.5935, 0.0000)



NpUPt: optimized geometry, PBE.

Summary:
**E above lowest polymorph**: 0 meV/atom
**Total magnetization**: 3.04 Bohr magnetons per cell
**Symmetry**: No. 216
**Formation energy**: -0.139 eV per atom
**Mass density**: 17376 kg/m3

abc: 4.4907 4.4907 4.4907
angles: 60.00 60.00 60.00
Element x y z (fractional)
Np (0.0000, 0.0000, 0.0000)
U (0.2500, 0.2500, 0.2500)
Pt (0.5000, 0.5000, 0.5000)



FeNiSbMo: optimized geometry, PBE.

Summary:
**E above lowest polymorph**: 0 meV/atom
**Total magnetization**: 2.72 Bohr magnetons per cell
**Symmetry**: No. 216
**Mass density**: 9283 kg/m3

abc: 4.3803 4.3803 4.3803
angles: 60.00 60.00 60.00
Element x y z (fractional)
Fe (0.0000, 0.0000, 0.0000)
Ni (0.7500, 0.7500, 0.7500)
Sb (0.5000, 0.5000, 0.5000)
Mo (0.2500, 0.2500, 0.2500)



ReAsOsO: optimized geometry, PBE.

Summary:
**E above lowest polymorph**: 238 meV/atom
**Total magnetization**: 0.00 Bohr magnetons per cell
**Symmetry**: No. 129
**Mass density**: 15329 kg/m3

abc: 3.9277 3.9277 6.5636
angles: 90.00 90.00 90.00
Element x y z (fractional)
Re (0.2500, 0.2500, 0.1831)
Re (0.7500, 0.7500, 0.8169)
As (0.2500, 0.2500, 0.7396)
As (0.7500, 0.7500, 0.2604)
Os (0.2500, 0.7500, 0.5000)
Os (0.7500, 0.2500, 0.5000)
O (0.2500, 0.7500, 0.0000)
O (0.7500, 0.2500, 0.0000)



GdHoCd4: optimized geometry, PBE.

Summary:
**Total magnetization**: 0.02 Bohr magnetons per cell
**Symmetry**: No. 44
**Formation energy**: -0.329 eV per atom
**Mass density**: 8804 kg/m3

abc: 6.0205 6.0205 6.0205
angles: 131.48 110.34 89.43
Element x y z (fractional)
Gd (0.0000, 0.0000, 0.0000)
Ho (0.4970, 0.9970, 0.5000)
Cd (0.0801, 0.3317, 0.7483)
Cd (0.4191, 0.6651, 0.7540)
Cd (0.5834, 0.3317, 0.2517)
Cd (0.9111, 0.6651, 0.2460)



NdBeO3: optimized geometry, PBE.

Summary:
**Electronic total energy**: -6.251 eV per atom
**Total magnetization**: 1.00 Bohr magnetons per cell
**Symmetry**: No. 99
**Mass density**: 4360 kg/m3

abc: 3.7242 3.7242 5.5270
angles: 90.00 90.00 90.00
Element x y z (fractional)
Nd (0.0000, 0.0000, 0.0000)
Be (0.5000, 0.5000, 0.7107)
O (0.0000, 0.0000, 0.3847)
O (0.0000, 0.5000, 0.7732)
O (0.5000, 0.0000, 0.7732)



AgSnSe2: optimized geometry, PBE.

Summary:
**Electronic total energy**: -3.688 eV per atom
**Symmetry**: No. 123
**Mass density**: 6715 kg/m3

abc: 4.0877 4.0877 5.6906
angles: 90.00 90.00 90.00
Element x y z (fractional)
Ag (0.0000, 0.0000, 0.0000)
Sn (0.5000, 0.5000, 0.5000)
Se (0.0000, 0.0000, 0.5000)
Se (0.5000, 0.5000, 0.0000)



LiNb2Al2CdOs2: optimized geometry, PBE.

Summary:
**Electronic total energy**: -6.828 eV per atom
**Total magnetization**: 0.01 Bohr magnetons per cell
**Symmetry**: No. 115
**Mass density**: 9842 kg/m3

abc: 4.4090 4.4090 6.4191
angles: 90.00 90.00 90.00
Element x y z (fractional)
Li (0.0000, 0.0000, 0.0000)
Nb (0.0000, 0.5000, 0.7654)
Nb (0.5000, 0.0000, 0.2346)
Al (0.0000, 0.5000, 0.2359)
Al (0.5000, 0.0000, 0.7641)
Cd (0.5000, 0.5000, 0.5000)
Os (0.0000, 0.0000, 0.5000)
Os (0.5000, 0.5000, 0.0000)



PmCoOs: optimized geometry, PBE.

Summary:
**E above lowest polymorph**: 0 meV/atom
**Total magnetization**: 2.42 Bohr magnetons per cell
**Symmetry**: No. 216
**Formation energy**: 0.672 eV per atom
**Mass density**: 10326 kg/m3

abc: 4.4755 4.4755 4.4755
angles: 60.00 60.00 60.00
Element x y z (fractional)
Pm (0.0000, 0.0000, 0.0000)
Co (0.5000, 0.5000, 0.5000)
Os (0.7500, 0.7500, 0.7500)



TbHoZn2Sn2: optimized geometry, PBE.

Summary:
**E above lowest polymorph**: 81 meV/atom
**Total magnetization**: 0.00 Bohr magnetons per cell
**Symmetry**: No. 107
**Mass density**: 8232 kg/m3

abc: 8.1092 8.1092 8.1092
angles: 149.18 149.18 44.15
Element x y z (fractional)
Tb (0.0000, 0.0000, 0.0000)
Ho (0.6846, 0.6846, 0.0000)
Zn (0.3417, 0.8417, 0.5000)
Zn (0.8417, 0.3417, 0.5000)
Sn (0.2082, 0.2082, 0.0000)
Sn (0.4761, 0.4761, 0.0000)



CdCoOs2: optimized geometry, PBE.

Summary:
**Total magnetization**: 2.26 Bohr magnetons per cell
**Symmetry**: No. 216
**Formation energy**: 0.667 eV per atom
**Mass density**: 15403 kg/m3

abc: 4.3817 4.3817 4.3817
angles: 60.00 60.00 60.00
Element x y z (fractional)
Cd (0.0000, 0.0000, 0.0000)
Co (0.7500, 0.7500, 0.7500)
Os (0.2500, 0.2500, 0.2500)
Os (0.5000, 0.5000, 0.5000)



HoSbPb: optimized geometry, PBE.

Summary:
**Electronic total energy**: -4.342 eV per atom
**Total magnetization**: 0.01 Bohr magnetons per cell
**Symmetry**: No. 216
**Mass density**: 8326 kg/m3

abc: 5.1839 5.1839 5.1839
angles: 60.00 60.00 60.00
Element x y z (fractional)
Ho (0.0000, 0.0000, 0.0000)
Sb (0.2500, 0.2500, 0.2500)
Pb (0.5000, 0.5000, 0.5000)



ErTl2: optimized geometry, PBE.

Summary:
**Electronic total energy**: -3.072 eV per atom
**Total magnetization**: 0.00 Bohr magnetons per cell
**Symmetry**: No. 225
**Mass density**: 10564 kg/m3

abc: 5.0403 5.0403 5.0403
angles: 60.00 60.00 60.00
Element x y z (fractional)
Er (0.0000, 0.0000, 0.0000)
Tl (0.2500, 0.2500, 0.2500)
Tl (0.7500, 0.7500, 0.7500)



ErTm3Sc2CuTe2: optimized geometry, PBE.

Summary:
**Electronic total energy**: -5.106 eV per atom
**Total magnetization**: 0.02 Bohr magnetons per cell
**Symmetry**: No. 38
**Mass density**: 8128 kg/m3

abc: 3.8198 8.1850 8.1850
angles: 120.19 90.00 90.00
Element x y z (fractional)
Er (0.0000, 0.0000, 0.0000)
Tm (0.5000, 0.1570, 0.4056)
Tm (0.5000, 0.4056, 0.1570)
Tm (0.5000, 0.6462, 0.6462)
Sc (0.0000, 0.4025, 0.8039)
Sc (0.0000, 0.8039, 0.4025)
Cu (0.0000, 0.4030, 0.4030)
Te (0.5000, 0.0704, 0.7316)
Te (0.5000, 0.7316, 0.0704)



Ta9W4: optimized geometry, PBE.

Summary:
**E above lowest polymorph**: 65 meV/atom
**Total magnetization**: 0.00 Bohr magnetons per cell
**Symmetry**: No. 166
**Formation energy**: 0.311 eV per atom
**Mass density**: 16675 kg/m3

abc: 9.8179 9.8179 9.8179
angles: 31.95 31.95 31.95
Element x y z (fractional)
Ta (0.0000, 0.0000, 0.0000)
Ta (0.0908, 0.0908, 0.5852)
Ta (0.0908, 0.5852, 0.0908)
Ta (0.4148, 0.9092, 0.9092)
Ta (0.4534, 0.4534, 0.4534)
Ta (0.5466, 0.5466, 0.5466)
Ta (0.5852, 0.0908, 0.0908)
Ta (0.9092, 0.4148, 0.9092)
Ta (0.9092, 0.9092, 0.4148)
W (0.1677, 0.1677, 0.1677)
W (0.3529, 0.3529, 0.3529)
W (0.6471, 0.6471, 0.6471)
W (0.8323, 0.8323, 0.8323)



BaPr2Mg3Tl2Cd: optimized geometry, PBE.

Summary:
**Electronic total energy**: -2.699 eV per atom
**Total magnetization**: 0.01 Bohr magnetons per cell
**Symmetry**: No. 38
**Mass density**: 6299 kg/m3

abc: 4.8665 7.9837 7.9837
angles: 120.55 90.00 90.00
Element x y z (fractional)
Ba (0.0000, 0.0000, 0.0000)
Pr (0.0000, 0.4211, 0.8413)
Pr (0.0000, 0.8413, 0.4211)
Mg (0.5000, 0.1895, 0.4276)
Mg (0.5000, 0.4276, 0.1895)
Mg (0.5000, 0.6528, 0.6528)
Tl (0.5000, 0.0949, 0.7413)
Tl (0.5000, 0.7413, 0.0949)
Cd (0.0000, 0.4341, 0.4341)



Be2CdMo: optimized geometry, PBE.

Summary:
**Electronic total energy**: -4.080 eV per atom
**Total magnetization**: 1.61 Bohr magnetons per cell
**Symmetry**: No. 216
**Mass density**: 6650 kg/m3

abc: 4.3078 4.3078 4.3078
angles: 60.00 60.00 60.00
Element x y z (fractional)
Be (0.0000, 0.0000, 0.0000)
Be (0.2500, 0.2500, 0.2500)
Cd (0.7500, 0.7500, 0.7500)
Mo (0.5000, 0.5000, 0.5000)